No. 1
First-principles (GGA+U) data for crystalline FeHgIO2 at its relaxed geometry, as listed in Alexandria.

abc: 3.9978 3.9978 6.1404
angles: 90.00 90.00 90.00
Space group P4/mmm (No. 123)
One atom of each set of equivalent atoms:
Fe: 0.0000 0.0000 0.0000 x1
Hg: 0.5000 0.5000 0.5000 x1
I: 0.0000 0.0000 0.5000 x1
O: 0.0000 0.5000 0.0000 x2

Properties
DFT total energy: -3.70 eV/atom

=====

No. 2
First-principles (GGA+U) data for crystalline FeHgI2O at its relaxed geometry, as listed in Alexandria.

abc: 6.0363 6.0363 4.0939
angles: 90.00 90.00 90.00
Space group P4/mmm (No. 123)
One atom of each set of equivalent atoms:
Fe: 0.0000 0.0000 0.0000 x1
Hg: 0.5000 0.5000 0.5000 x1
I: 0.0000 0.5000 0.5000 x2
O: 0.5000 0.5000 0.0000 x1

Properties
DFT total energy: -2.34 eV/atom

=====

No. 3
First-principles (GGA+U) data for crystalline FeHgI2O at its relaxed geometry, as listed in Alexandria.

abc: 5.9489 5.9489 3.7016
angles: 90.00 90.00 90.00
Space group P4/mmm (No. 123)
One atom of each set of equivalent atoms:
Fe: 0.0000 0.0000 0.0000 x1
Hg: 0.5000 0.5000 0.5000 x1
I: 0.0000 0.5000 0.0000 x2
O: 0.0000 0.0000 0.5000 x1

Properties
DFT total energy: -3.04 eV/atom

=====

No. 4
First-principles (GGA+U) data for crystalline FeHgIO2 at its relaxed geometry, as listed in Alexandria.

abc: 4.2093 4.2093 6.5253
angles: 90.00 90.00 90.00
Space group P4/mmm (No. 123)
One atom of each set of equivalent atoms:
Fe: 0.0000 0.0000 0.0000 x1
Hg: 0.5000 0.5000 0.5000 x1
I: 0.5000 0.5000 0.0000 x1
O: 0.0000 0.5000 0.5000 x2

Properties
DFT total energy: -2.98 eV/atom

=====

Q: Among the records above, which one has the highest DFT total energy?
A: number 2